DFT (GGA-PBE) results for crystalline MnCoPt2 at its relaxed geometry.

## Properties
Energy in hartree per atom: -0.252
ρ in g cm⁻³: 13.29
Total magnetic moment in Bohr magnetons per cell: 12.81
Energy relative to the elements in meV per atom: 223

a = 5.549 Å, b = 5.549 Å, c = 5.549 Å
α = 103.15°, β = 103.15°, γ = 123.01°
Fractional positions:
Mn 0.000 0.000 0.000
Mn 0.750 0.250 0.500
Co 0.250 0.750 0.500
Co 0.500 0.500 0.000
Pt 0.142 0.625 0.017
Pt 0.375 0.392 0.517
Pt 0.608 0.125 0.983
Pt 0.875 0.858 0.483

=====

DFT (GGA-PBE) results for crystalline In4FeSi at its relaxed geometry.

## Properties
Energy in hartree per atom: -0.124
Raw formation energy in eV/atom: 0.776
ρ in g cm⁻³: 6.23
Total magnetic moment in Bohr magnetons per cell: 3.02

a = 5.895 Å, b = 5.895 Å, c = 5.895 Å
α = 60.00°, β = 60.00°, γ = 60.00°
Fractional positions:
In 0.125 0.125 0.125
In 0.125 0.125 0.625
In 0.125 0.625 0.125
In 0.625 0.125 0.125
Fe 0.500 0.500 0.500
Si 0.750 0.750 0.750